Record 1
Below is an optimized crystal structure of PmRe3Tc3, with properties calculated at the GGA-PBE level.

a = 6.8380 Å, b = 6.8380 Å, c = 6.8380 Å
α = 90.00°, β = 90.00°, γ = 90.00°
Closest atoms and distances in Å follow each position.
Positions (direct):
Pm (0.0000, 0.0000, 0.0000)  12 Re 3.82, 12 Tc 3.82
Pm (0.5000, 0.5000, 0.5000)  12 Re 3.82, 12 Tc 3.82
Re (0.0000, 0.2500, 0.5000)  4 Tc 2.42
Re (0.0000, 0.7500, 0.5000)  4 Tc 2.42
Re (0.2500, 0.5000, 0.0000)  4 Tc 2.42
Re (0.5000, 0.0000, 0.2500)  4 Tc 2.42
Re (0.5000, 0.0000, 0.7500)  4 Tc 2.42
Re (0.7500, 0.5000, 0.0000)  4 Tc 2.42
Tc (0.0000, 0.5000, 0.2500)  4 Re 2.42
Tc (0.0000, 0.5000, 0.7500)  4 Re 2.42
Tc (0.2500, 0.0000, 0.5000)  4 Re 2.42
Tc (0.5000, 0.2500, 0.0000)  4 Re 2.42
Tc (0.5000, 0.7500, 0.0000)  4 Re 2.42
Tc (0.7500, 0.0000, 0.5000)  4 Re 2.42

- formation energy from the elements (eV/atom) = 0.9226
- V (Å³ per cell) = 320
- N(E_F) (states/eV per cell) = 7.54
- final energy (eV per cell) = -133.47
- crystal system = cubic

=====

Record 2
Below is an optimized crystal structure of PmRe2Tc, with properties calculated at the GGA-PBE level.

a = 5.8612 Å, b = 5.8612 Å, c = 5.8612 Å
α = 43.96°, β = 43.96°, γ = 43.96°
Closest atoms and distances in Å follow each position.
Positions (direct):
Pm (0.0000, 0.0000, 0.0000)  8 Re 3.06-3.37
Re (0.1930, 0.1930, 0.1930)  3 Tc 2.57, 3 Re 2.67
Re (0.8070, 0.8070, 0.8070)  3 Tc 2.57, 3 Re 2.67
Tc (0.5000, 0.5000, 0.5000)  6 Re 2.57

- formation energy from the elements (eV/atom) = 0.3438
- V (Å³ per cell) = 88
- N(E_F) (states/eV per cell) = 4.51
- final energy (eV per cell) = -38.64
- crystal system = trigonal

=====

Record 3
Below is an optimized crystal structure of PmReTc2, with properties calculated at the GGA-PBE level.

a = 9.1842 Å, b = 9.1824 Å, c = 4.7850 Å
α = 74.92°, β = 74.88°, γ = 30.20°
Closest atoms and distances in Å follow each position.
Positions (direct):
Pm (0.1250, 0.1250, 0.1250)  4 Re 3.38-3.39, 8 Tc 3.42
Pm (0.8750, 0.8750, 0.8750)  4 Re 3.38-3.39, 8 Tc 3.42
Re (0.3750, 0.3750, 0.3750)  4 Tc 2.45
Re (0.6250, 0.6250, 0.6250)  4 Tc 2.45
Tc (0.0000, 0.5000, 0.5000)  2 Tc 2.39, 2 Re 2.45
Tc (0.5000, 0.0000, 0.5000)  2 Tc 2.39, 2 Re 2.45
Tc (0.5000, 0.5000, 0.0000)  2 Tc 2.39, 2 Re 2.45
Tc (0.5000, 0.5000, 0.5000)  2 Tc 2.39, 2 Re 2.45

- offset from the most stable computed form (eV per formula unit) = 2.33
- formation energy from the elements (eV/atom) = 0.8360
- V (Å³ per cell) = 195
- N(E_F) (states/eV per cell) = 6.49
- final energy (eV per cell) = -69.17
- crystal system = orthorhombic

=====

Record 4
Below is an optimized crystal structure of PmReTc2, with properties calculated at the GGA-PBE level.

a = 3.1455 Å, b = 3.1455 Å, c = 7.3419 Å
α = 90.00°, β = 90.00°, γ = 90.00°
Closest atoms and distances in Å follow each position.
Positions (direct):
Pm (0.0000, 0.0000, 0.0000)  8 Tc 3.14, 4 Pm 3.15
Re (0.0000, 0.0000, 0.5000)  8 Tc 2.66
Tc (0.5000, 0.5000, 0.3010)  4 Re 2.66, 1 Tc 2.92
Tc (0.5000, 0.5000, 0.6990)  4 Re 2.66, 1 Tc 2.92

- offset from the most stable computed form (eV per formula unit) = 0.00
- formation energy from the elements (eV/atom) = 0.2531
- V (Å³ per cell) = 73
- N(E_F) (states/eV per cell) = 5.34
- final energy (eV per cell) = -36.92
- crystal system = tetragonal

=====

Record 5
Below is an optimized crystal structure of PmTiRe4, with properties calculated at the GGA-PBE level.

a = 5.3452 Å, b = 5.3452 Å, c = 5.3452 Å
α = 60.00°, β = 60.00°, γ = 60.00°
Closest atoms and distances in Å follow each position.
Positions (direct):
Pm (0.0000, 0.0000, 0.0000)  12 Re 3.14, 4 Ti 3.27
Ti (0.2500, 0.2500, 0.2500)  12 Re 3.13, 4 Pm 3.27
Re (0.1266, 0.6245, 0.6245)  6 Re 2.66-2.68
Re (0.6245, 0.1266, 0.6245)  6 Re 2.66-2.68
Re (0.6245, 0.6245, 0.1266)  6 Re 2.66-2.68
Re (0.6245, 0.6245, 0.6245)  6 Re 2.66-2.68

- formation energy from the elements (eV/atom) = 0.0075
- V (Å³ per cell) = 108
- N(E_F) (states/eV per cell) = 9.82
- final energy (eV per cell) = -62.39
- crystal system = cubic

=====

Record 6
Below is an optimized crystal structure of PmTi2Re, with properties calculated at the GGA-PBE level.

a = 3.1932 Å, b = 3.1932 Å, c = 7.8204 Å
α = 90.00°, β = 90.00°, γ = 90.00°
Closest atoms and distances in Å follow each position.
Positions (direct):
Pm (0.0000, 0.0000, 0.0000)  4 Pm 3.19, 8 Ti 3.35
Ti (0.5000, 0.5000, 0.3170)  4 Re 2.67, 1 Ti 2.86
Ti (0.5000, 0.5000, 0.6830)  4 Re 2.67, 1 Ti 2.86
Re (0.0000, 0.0000, 0.5000)  8 Ti 2.67

- formation energy from the elements (eV/atom) = -0.0722
- V (Å³ per cell) = 80
- N(E_F) (states/eV per cell) = 4.72
- final energy (eV per cell) = -33.28
- crystal system = tetragonal

=====

Record 7
Below is an optimized crystal structure of Pm12Tl5Re3, with properties calculated at the GGA-PBE level.

a = 15.3057 Å, b = 15.3057 Å, c = 15.3057 Å
α = 109.47°, β = 109.47°, γ = 109.47°
Closest atoms and distances in Å follow each position.
Positions (direct):
Pm (0.0596, 0.6322, 0.3930)  1 Re 2.88, 2 Tl 3.05-3.10, 1 Pm 3.20
Pm (0.0596, 0.9274, 0.6666)  1 Re 2.88, 2 Tl 3.05-3.10, 1 Pm 3.20
Pm (0.0726, 0.2392, 0.1322)  1 Re 2.88, 2 Tl 3.05-3.10, 1 Pm 3.20
Pm (0.0726, 0.3334, 0.9404)  1 Re 2.88, 2 Tl 3.05-3.10, 1 Pm 3.20
Pm (0.1070, 0.7392, 0.6666)  1 Re 2.88, 2 Tl 3.05-3.10, 1 Pm 3.20
Pm (0.1070, 0.8678, 0.4404)  1 Re 2.88, 2 Tl 3.05-3.10, 1 Pm 3.20
Pm (0.1322, 0.0726, 0.2392)  1 Re 2.88, 2 Tl 3.05-3.10, 1 Pm 3.20
Pm (0.1322, 0.5596, 0.8930)  1 Re 2.88, 2 Tl 3.05-3.10, 1 Pm 3.20
Pm (0.1666, 0.2392, 0.6070)  1 Re 2.88, 2 Tl 3.05-3.10, 1 Pm 3.20
Pm (0.1666, 0.4274, 0.5596)  1 Re 2.88, 2 Tl 3.05-3.10, 1 Pm 3.20
Pm (0.2392, 0.1322, 0.0726)  1 Re 2.88, 2 Tl 3.05-3.10, 1 Pm 3.20
Pm (0.2392, 0.6070, 0.1666)  1 Re 2.88, 2 Tl 3.05-3.10, 1 Pm 3.20
Pm (0.2608, 0.3334, 0.8930)  1 Re 2.88, 2 Tl 3.05-3.10, 1 Pm 3.20
Pm (0.2608, 0.4274, 0.3678)  1 Re 2.88, 2 Tl 3.05-3.10, 1 Pm 3.20
Pm (0.3334, 0.8930, 0.2608)  1 Re 2.88, 2 Tl 3.05-3.10, 1 Pm 3.20
Pm (0.3334, 0.9404, 0.0726)  1 Re 2.88, 2 Tl 3.05-3.10, 1 Pm 3.20
Pm (0.3678, 0.2608, 0.4274)  1 Re 2.88, 2 Tl 3.05-3.10, 1 Pm 3.20
Pm (0.3678, 0.6070, 0.9404)  1 Re 2.88, 2 Tl 3.05-3.10, 1 Pm 3.20
Pm (0.3930, 0.0596, 0.6322)  1 Re 2.88, 2 Tl 3.05-3.10, 1 Pm 3.20
Pm (0.3930, 0.8334, 0.7608)  1 Re 2.88, 2 Tl 3.05-3.10, 1 Pm 3.20
Pm (0.4274, 0.3678, 0.2608)  1 Re 2.88, 2 Tl 3.05-3.10, 1 Pm 3.20
Pm (0.4274, 0.5596, 0.1666)  1 Re 2.88, 2 Tl 3.05-3.10, 1 Pm 3.20
Pm (0.4404, 0.1070, 0.8678)  1 Re 2.88, 2 Tl 3.05-3.10, 1 Pm 3.20
Pm (0.4404, 0.8334, 0.5726)  1 Re 2.88, 2 Tl 3.05-3.10, 1 Pm 3.20
Pm (0.5596, 0.1666, 0.4274)  1 Re 2.88, 2 Tl 3.05-3.10, 1 Pm 3.20
Pm (0.5596, 0.8930, 0.1322)  1 Re 2.88, 2 Tl 3.05-3.10, 1 Pm 3.20
Pm (0.5726, 0.4404, 0.8334)  1 Re 2.88, 2 Tl 3.05-3.10, 1 Pm 3.20
Pm (0.5726, 0.6322, 0.7392)  1 Re 2.88, 2 Tl 3.05-3.10, 1 Pm 3.20
Pm (0.6070, 0.1666, 0.2392)  1 Re 2.88, 2 Tl 3.05-3.10, 1 Pm 3.20
Pm (0.6070, 0.9404, 0.3678)  1 Re 2.88, 2 Tl 3.05-3.10, 1 Pm 3.20
Pm (0.6322, 0.3930, 0.0596)  1 Re 2.88, 2 Tl 3.05-3.10, 1 Pm 3.20
Pm (0.6322, 0.7392, 0.5726)  1 Re 2.88, 2 Tl 3.05-3.10, 1 Pm 3.20
Pm (0.6666, 0.0596, 0.9274)  1 Re 2.88, 2 Tl 3.05-3.10, 1 Pm 3.20
Pm (0.6666, 0.1070, 0.7392)  1 Re 2.88, 2 Tl 3.05-3.10, 1 Pm 3.20
Pm (0.7392, 0.5726, 0.6322)  1 Re 2.88, 2 Tl 3.05-3.10, 1 Pm 3.20
Pm (0.7392, 0.6666, 0.1070)  1 Re 2.88, 2 Tl 3.05-3.10, 1 Pm 3.20
Pm (0.7608, 0.3930, 0.8334)  1 Re 2.88, 2 Tl 3.05-3.10, 1 Pm 3.20
Pm (0.7608, 0.8678, 0.9274)  1 Re 2.88, 2 Tl 3.05-3.10, 1 Pm 3.20
Pm (0.8334, 0.5726, 0.4404)  1 Re 2.88, 2 Tl 3.05-3.10, 1 Pm 3.20
Pm (0.8334, 0.7608, 0.3930)  1 Re 2.88, 2 Tl 3.05-3.10, 1 Pm 3.20
Pm (0.8678, 0.4404, 0.1070)  1 Re 2.88, 2 Tl 3.05-3.10, 1 Pm 3.20
Pm (0.8678, 0.9274, 0.7608)  1 Re 2.88, 2 Tl 3.05-3.10, 1 Pm 3.20
Pm (0.8930, 0.1322, 0.5596)  1 Re 2.88, 2 Tl 3.05-3.10, 1 Pm 3.20
Pm (0.8930, 0.2608, 0.3334)  1 Re 2.88, 2 Tl 3.05-3.10, 1 Pm 3.20
Pm (0.9274, 0.6666, 0.0596)  1 Re 2.88, 2 Tl 3.05-3.10, 1 Pm 3.20
Pm (0.9274, 0.7608, 0.8678)  1 Re 2.88, 2 Tl 3.05-3.10, 1 Pm 3.20
Pm (0.9404, 0.0726, 0.3334)  1 Re 2.88, 2 Tl 3.05-3.10, 1 Pm 3.20
Pm (0.9404, 0.3678, 0.6070)  1 Re 2.88, 2 Tl 3.05-3.10, 1 Pm 3.20
Tl (0.0000, 0.0000, 0.0000)  6 Pm 3.10
Tl (0.0000, 0.0000, 0.5000)  6 Pm 3.10
Tl (0.0000, 0.5000, 0.0000)  6 Pm 3.10
Tl (0.0000, 0.5000, 0.5000)  6 Pm 3.10
Tl (0.1250, 0.7500, 0.8750)  4 Pm 3.05
Tl (0.1250, 0.8750, 0.2500)  4 Pm 3.05
Tl (0.2500, 0.1250, 0.8750)  4 Pm 3.05
Tl (0.2500, 0.6250, 0.3750)  4 Pm 3.05
Tl (0.3750, 0.2500, 0.6250)  4 Pm 3.05
Tl (0.3750, 0.6250, 0.7500)  4 Pm 3.05
Tl (0.5000, 0.0000, 0.0000)  6 Pm 3.10
Tl (0.5000, 0.0000, 0.5000)  6 Pm 3.10
Tl (0.5000, 0.5000, 0.0000)  6 Pm 3.10
Tl (0.5000, 0.5000, 0.5000)  6 Pm 3.10
Tl (0.6250, 0.3750, 0.2500)  4 Pm 3.05
Tl (0.6250, 0.7500, 0.3750)  4 Pm 3.05
Tl (0.7500, 0.3750, 0.6250)  4 Pm 3.05
Tl (0.7500, 0.8750, 0.1250)  4 Pm 3.05
Tl (0.8750, 0.1250, 0.7500)  4 Pm 3.05
Tl (0.8750, 0.2500, 0.1250)  4 Pm 3.05
Re (0.1250, 0.2500, 0.3750)  4 Pm 2.88
Re (0.1250, 0.3750, 0.7500)  4 Pm 2.88
Re (0.2500, 0.3750, 0.1250)  4 Pm 2.88
Re (0.2500, 0.8750, 0.6250)  4 Pm 2.88
Re (0.3750, 0.1250, 0.2500)  4 Pm 2.88
Re (0.3750, 0.7500, 0.1250)  4 Pm 2.88
Re (0.6250, 0.2500, 0.8750)  4 Pm 2.88
Re (0.6250, 0.8750, 0.7500)  4 Pm 2.88
Re (0.7500, 0.1250, 0.3750)  4 Pm 2.88
Re (0.7500, 0.6250, 0.8750)  4 Pm 2.88
Re (0.8750, 0.6250, 0.2500)  4 Pm 2.88
Re (0.8750, 0.7500, 0.6250)  4 Pm 2.88

- formation energy from the elements (eV/atom) = 0.4426
- V (Å³ per cell) = 2760
- N(E_F) (states/eV per cell) = 77.76
- final energy (eV per cell) = -389.33
- crystal system = cubic

=====

Record 8
Below is an optimized crystal structure of PmTlRe, with properties calculated at the GGA-PBE level.

a = 3.4366 Å, b = 3.4482 Å, c = 13.3591 Å
α = 97.41°, β = 97.39°, γ = 90.01°
Closest atoms and distances in Å follow each position.
Positions (direct):
Pm (0.1846, 0.1861, 0.3671)  4 Re 2.97-2.98
Pm (0.8154, 0.8139, 0.6329)  4 Re 2.97-2.98
Tl (0.0571, 0.0596, 0.1130)  4 Re 2.93, 1 Tl 2.97
Tl (0.9429, 0.9404, 0.8870)  4 Re 2.93, 1 Tl 2.97
Re (0.3809, 0.3787, 0.7632)  4 Tl 2.93, 4 Pm 2.97-2.98
Re (0.6191, 0.6213, 0.2368)  4 Tl 2.93, 4 Pm 2.97-2.98

- formation energy from the elements (eV/atom) = 0.6805
- V (Å³ per cell) = 156
- N(E_F) (states/eV per cell) = 4.85
- final energy (eV per cell) = -35.05
- crystal system = triclinic

=====

Record 9
Below is an optimized crystal structure of PmTmRe4, with properties calculated at the GGA-PBE level.

a = 5.4390 Å, b = 5.4390 Å, c = 5.4390 Å
α = 60.00°, β = 60.00°, γ = 60.00°
Closest atoms and distances in Å follow each position.
Positions (direct):
Pm (0.0000, 0.0000, 0.0000)  12 Re 3.19, 4 Tm 3.33
Tm (0.7500, 0.7500, 0.7500)  12 Re 3.19, 4 Pm 3.33
Re (0.3751, 0.3751, 0.3751)  6 Re 2.72
Re (0.3751, 0.3751, 0.8746)  6 Re 2.72
Re (0.3751, 0.8746, 0.3751)  6 Re 2.72
Re (0.8746, 0.3751, 0.3751)  6 Re 2.72

- formation energy from the elements (eV/atom) = -0.1109
- V (Å³ per cell) = 114
- N(E_F) (states/eV per cell) = 7.97
- final energy (eV per cell) = -59.68
- crystal system = cubic

=====

Record 10
Below is an optimized crystal structure of Pm2TmRe, with properties calculated at the GGA-PBE level.

a = 11.5508 Å, b = 11.5508 Å, c = 11.5508 Å
α = 16.34°, β = 16.34°, γ = 16.34°
Closest atoms and distances in Å follow each position.
Positions (direct):
Pm (0.0783, 0.0783, 0.0783)  1 Re 2.68
Pm (0.9217, 0.9217, 0.9217)  1 Re 2.68
Tm (0.5000, 0.5000, 0.5000)  6 Tm 3.28, 6 Pm 3.57
Re (0.0000, 0.0000, 0.0000)  2 Pm 2.68

- formation energy from the elements (eV/atom) = 0.8643
- V (Å³ per cell) = 106
- N(E_F) (states/eV per cell) = 6.50
- final energy (eV per cell) = -22.96
- crystal system = trigonal

=====

Record 11
Below is an optimized crystal structure of PmURe, with properties calculated at the GGA-PBE level.

a = 4.9332 Å, b = 4.9332 Å, c = 11.0746 Å
α = 105.56°, β = 105.56°, γ = 37.10°
Closest atoms and distances in Å follow each position.
Positions (direct):
Pm (0.1661, 0.1661, 0.1130)  1 Re 3.02, 2 Pm 3.14
Pm (0.8339, 0.8339, 0.8870)  1 Re 3.02, 2 Pm 3.14
U (0.4832, 0.4832, 0.6534)  3 Re 2.54-2.75
U (0.5168, 0.5168, 0.3466)  3 Re 2.54-2.75
Re (0.2681, 0.2681, 0.3976)  3 U 2.54-2.75
Re (0.7319, 0.7319, 0.6024)  3 U 2.54-2.75

- formation energy from the elements (eV/atom) = 0.5957
- V (Å³ per cell) = 156
- N(E_F) (states/eV per cell) = 13.47
- final energy (eV per cell) = -53.40
- crystal system = monoclinic

=====

Record 12
Below is an optimized crystal structure of PmU2Re9, with properties calculated at the GGA-PBE level.

a = 9.6176 Å, b = 9.6176 Å, c = 9.6176 Å
α = 31.73°, β = 31.73°, γ = 31.73°
Closest atoms and distances in Å follow each position.
Positions (direct):
Pm (0.0000, 0.0000, 0.0000)  6 Re 3.04
U (0.1483, 0.1483, 0.1483)  12 Re 3.08-3.18, 3 U 3.20
U (0.8517, 0.8517, 0.8517)  12 Re 3.08-3.18, 3 U 3.20
Re (0.0787, 0.5849, 0.5849)  7 Re 2.60-2.76
Re (0.3352, 0.3352, 0.3352)  6 Re 2.70-2.76
Re (0.4151, 0.4151, 0.9213)  7 Re 2.60-2.76
Re (0.4151, 0.9213, 0.4151)  7 Re 2.60-2.76
Re (0.5000, 0.5000, 0.5000)  6 Re 2.76, 6 U 3.08
Re (0.5849, 0.0787, 0.5849)  7 Re 2.60-2.76
Re (0.5849, 0.5849, 0.0787)  7 Re 2.60-2.76
Re (0.6648, 0.6648, 0.6648)  6 Re 2.70-2.76
Re (0.9213, 0.4151, 0.4151)  7 Re 2.60-2.76

- formation energy from the elements (eV/atom) = 0.0711
- V (Å³ per cell) = 218
- N(E_F) (states/eV per cell) = 13.06
- final energy (eV per cell) = -138.51
- crystal system = trigonal